Entry 1:
Below is PmDy3Ho6Tm2 after structural relaxation, with properties calculated at the PBE level.

Properties
The formation energy comes out at 0.02 eV per atom. The calculation puts the energy at -4.5618 eV/atom. As for the crystal system: monoclinic. The value obtained for the density of states at the Fermi level is 31.307 states/eV per cell.

abc: 6.1172 10.5839 11.7067
angles: 90.00 99.98 90.00
With the nearest neighbours (Å) after each atom.
Space group C2/m (No. 12)
Asymmetric unit:
Pm 0.0000 0.0000 0.0000 (multiplicity 2)  6 Tm 3.53, 6 Ho 3.53-3.54
Dy 0.0000 0.1670 0.5000 (multiplicity 4)  6 Ho 3.52-3.53, 6 Dy 3.52-3.53
Dy 0.0000 0.5000 0.5000 (multiplicity 2)  6 Dy 3.52-3.53, 6 Ho 3.53
Ho 0.2490 0.3330 0.7497 (multiplicity 8)  3 Dy 3.52-3.53, 6 Ho 3.52-3.54, 2 Tm 3.53, 1 Pm 3.54
Ho 0.2502 0.0000 0.7499 (multiplicity 4)  6 Ho 3.52-3.54, 3 Dy 3.53, 1 Pm 3.53, 2 Tm 3.53
Tm 0.0000 0.3333 0.0000 (multiplicity 4)  3 Pm 3.53, 6 Ho 3.53, 3 Tm 3.53


Entry 2:
Below is PmDyHo2Tm5 after structural relaxation, with properties calculated at the PBE level.

Properties
The formation energy comes out at 0.16 eV per atom. The calculation puts the energy at -4.3782 eV/atom. As for the crystal system: orthorhombic. The value obtained for the density of states at the Fermi level is 55.472 states/eV per cell.

abc: 5.5455 19.5841 10.4983
angles: 90.00 90.00 90.00
With the nearest neighbours (Å) after each atom.
Space group Cmc2_1 (No. 36)
Asymmetric unit:
Pm 0.0000 0.0834 0.0000 (multiplicity 4)  5 Tm 3.03-3.21
Dy 0.0000 0.2995 0.5586 (multiplicity 4)  2 Ho 3.40-3.65, 8 Tm 3.47-3.71, 2 Pm 3.65
Ho 0.0000 0.3871 0.8656 (multiplicity 4)  9 Tm 3.31-3.59, 1 Dy 3.65
Ho 0.0000 0.3897 0.2821 (multiplicity 4)  7 Tm 3.34-3.70, 1 Dy 3.40, 2 Pm 3.63
Tm 0.0000 0.0213 0.2830 (multiplicity 4)  2 Pm 3.07-3.21, 2 Ho 3.41
Tm 0.0000 0.1112 0.5687 (multiplicity 4)  6 Tm 3.43-3.76, 4 Ho 3.50-3.56, 1 Dy 3.69
Tm 0.0000 0.2010 0.2570 (multiplicity 4)  4 Tm 3.36-3.72, 3 Ho 3.46-3.70, 3 Dy 3.47-3.71, 1 Pm 3.55
Tm 0.0000 0.2182 0.8575 (multiplicity 4)  1 Pm 3.03, 1 Ho 3.31, 2 Tm 3.36
Tm 0.0000 0.4818 0.5724 (multiplicity 4)  2 Pm 3.15, 2 Ho 3.34-3.36